The following is a PBE calculation of crystalline Al2SiAs at its relaxed geometry, from the Alexandria database.

Computed properties:
Formation energy from raw total energies: 190 meV per atom
Energy relative to the lowest polymorph listed for this composition: 191.8 meV/atom

Structure (extended XYZ):
```
4
Lattice="3.121 0.000 0.000 0.000 3.496 0.000 -0.325 0.000 6.162" Properties=species:S:1:pos:R:3 pbc="T T T"
Al -0.060 0.000 1.466
Al 2.856 0.000 4.696
Si 1.560 1.748 0.000
As 1.398 1.748 3.081
```



The following is a PBE calculation of crystalline La2PmBr4 at its relaxed geometry, from the Alexandria database.

Computed properties:
Formation energy from raw total energies: -1384 meV per atom

Structure (extended XYZ):
```
14
Lattice="10.712 -2.069 0.000 10.712 2.069 0.000 -7.679 0.000 10.583" Properties=species:S:1:pos:R:3 pbc="T T T"
La 1.089 0.000 3.463
La -0.870 0.000 9.118
La 14.616 0.000 1.465
La 12.656 0.000 7.120
Pm 5.164 0.000 4.441
Pm 8.582 0.000 6.142
Br 1.846 0.000 0.561
Br -0.057 0.000 6.240
Br 6.195 0.000 1.622
Br 4.176 0.000 7.423
Br 9.569 0.000 3.160
Br 7.551 0.000 8.961
Br 13.803 0.000 4.343
Br 11.900 0.000 10.022
```



The following is a PBE calculation of crystalline TbNd2YTe5 at its relaxed geometry, from the Alexandria database.

Computed properties:
Formation energy from raw total energies: -800 meV per atom

Structure (extended XYZ):
```
9
Lattice="5.568 0.000 0.000 0.000 5.568 0.000 0.000 0.000 11.577" Properties=species:S:1:pos:R:3 pbc="T T T"
Tb 0.000 0.000 0.000
Nd 2.784 2.784 1.868
Nd 2.784 2.784 9.709
Y 0.000 0.000 5.788
Te 0.000 0.000 2.955
Te 0.000 0.000 8.622
Te 0.000 2.784 0.000
Te 2.784 0.000 0.000
Te 2.784 2.784 5.788
```



The following is a PBE calculation of crystalline Hf2PbSe at its relaxed geometry, from the Alexandria database.

Computed properties:
Formation energy from raw total energies: -333 meV per atom
Energy relative to the lowest polymorph listed for this composition: 36.7 meV/atom

Structure (extended XYZ):
```
4
Lattice="1.990 1.149 6.598 -1.990 1.149 6.598 0.000 -2.298 6.598" Properties=species:S:1:pos:R:3 pbc="T T T"
Hf 0.000 0.000 4.661
Hf 0.000 0.000 15.132
Pb 0.000 0.000 0.000
Se 0.000 0.000 9.897
```



The following is a PBE calculation of crystalline Sb2TeAuC at its relaxed geometry, from the Alexandria database.

Computed properties:
Formation energy from raw total energies: 939 meV per atom
Energy relative to the lowest polymorph listed for this composition: 0.0 meV/atom

Structure (extended XYZ):
```
5
Lattice="5.731 0.000 0.000 0.000 5.731 0.000 0.000 0.000 3.832" Properties=species:S:1:pos:R:3 pbc="T T T"
Sb 0.000 2.865 0.000
Sb 2.865 0.000 0.000
Te 0.000 0.000 1.916
Au 2.865 2.865 0.000
C 2.865 2.865 1.916
```



The following is a PBE calculation of crystalline Na2SrV at its relaxed geometry, from the Alexandria database.

Computed properties:
Energy relative to the lowest polymorph listed for this composition: 51.1 meV/atom

Structure (extended XYZ):
```
8
Lattice="-2.373 2.373 12.588 2.373 -2.373 12.588 2.373 2.373 -12.588" Properties=species:S:1:pos:R:3 pbc="T T T"
Na 3.560 1.026 -3.147
Na 1.026 1.187 3.147
Na -1.187 1.347 9.441
Na 1.347 1.187 15.736
Sr 2.373 0.000 6.294
Sr 0.000 0.000 12.588
V 0.000 0.000 0.000
V 0.000 2.373 6.294
```



The following is a PBE calculation of crystalline YOs2W at its relaxed geometry, from the Alexandria database.

Computed properties:
Energy relative to the lowest polymorph listed for this composition: 371.2 meV/atom

Structure (extended XYZ):
```
4
Lattice="-1.583 2.449 4.549 1.583 -2.449 4.549 1.583 2.449 -4.549" Properties=species:S:1:pos:R:3 pbc="T T T"
Y 0.000 0.000 0.000
Os 1.583 0.000 2.507
Os 0.000 2.449 2.042
W 0.000 0.000 4.549
```



The following is a PBE calculation of crystalline K3TbEr3Se8 at its relaxed geometry, from the Alexandria database.

Computed properties:
Formation energy from raw total energies: -1678 meV per atom

Structure (extended XYZ):
```
15
Lattice="4.127 2.383 7.847 -4.127 2.383 7.847 0.000 -4.766 7.847" Properties=species:S:1:pos:R:3 pbc="T T T"
K -2.064 -1.191 7.847
K -2.064 1.191 15.695
K 0.000 2.383 7.847
Tb 0.000 0.000 11.771
Er -4.127 0.000 11.771
Er -2.064 1.191 3.924
Er 2.064 1.191 3.924
Se -2.089 -1.206 13.359
Se 0.000 0.000 5.520
Se 0.000 -2.412 10.183
Se -2.089 1.206 10.183
Se 2.089 -1.206 13.359
Se 0.000 2.412 13.359
Se 0.000 0.000 18.022
Se 2.089 1.206 10.183
```



The following is a PBE calculation of crystalline Tc3PbBr at its relaxed geometry, from the Alexandria database.

Computed properties:
Formation energy from raw total energies: 2355 meV per atom
Energy relative to the lowest polymorph listed for this composition: 827.6 meV/atom

Structure (extended XYZ):
```
5
Lattice="5.257 0.000 0.000 0.000 5.257 0.000 0.000 0.000 5.257" Properties=species:S:1:pos:R:3 pbc="T T T"
Tc 0.000 0.000 2.628
Tc 0.000 2.628 0.000
Tc 2.628 0.000 0.000
Pb 0.000 0.000 0.000
Br 2.628 2.628 2.628
```



The following is a PBE calculation of crystalline Li2PtAu8 at its relaxed geometry, from the Alexandria database.

Computed properties:
Energy relative to the lowest polymorph listed for this composition: 0.0 meV/atom

Structure (extended XYZ):
```
11
Lattice="7.315 -2.058 0.000 7.315 2.058 0.000 -1.674 0.000 6.204" Properties=species:S:1:pos:R:3 pbc="T T T"
Li 3.048 0.000 0.908
Li 9.907 0.000 5.296
Pt 6.478 0.000 3.102
Au 0.294 0.000 1.420
Au 0.914 0.000 4.310
Au 3.667 0.000 3.682
Au 5.814 0.000 0.290
Au 7.142 0.000 5.914
Au 9.288 0.000 2.523
Au 12.042 0.000 1.894
Au 12.661 0.000 4.784
```



The following is a PBE calculation of crystalline LiTiAgF6 at its relaxed geometry, from the Alexandria database.

Computed properties:
Formation energy from raw total energies: -2809 meV per atom

Structure (extended XYZ):
```
18
Lattice="5.282 0.000 0.000 -2.641 4.574 0.000 0.000 0.000 10.414" Properties=species:S:1:pos:R:3 pbc="T T T"
Li 0.000 3.049 2.603
Li 2.641 1.525 7.810
Ti 0.000 3.049 7.810
Ti 2.641 1.525 2.603
Ag 0.000 0.000 0.000
Ag 0.000 0.000 5.207
F -0.892 1.758 6.742
F -1.564 2.923 8.878
F 0.892 1.758 8.878
F -0.672 4.467 6.742
F 1.969 0.107 1.535
F 1.077 1.651 3.671
F 1.564 2.923 6.742
F 0.672 4.467 8.878
F 3.313 0.107 3.671
F 1.749 2.816 1.535
F 4.205 1.651 1.535
F 3.532 2.816 3.671
```



The following is a PBE calculation of crystalline HgAsAu at its relaxed geometry, from the Alexandria database.

Computed properties:
Energy relative to the lowest polymorph listed for this composition: 87.6 meV/atom

Structure (extended XYZ):
```
3
Lattice="0.000 3.260 3.260 3.260 0.000 3.260 3.260 3.260 0.000" Properties=species:S:1:pos:R:3 pbc="T T T"
Hg 0.000 0.000 0.000
As 3.260 3.260 3.260
Au 4.890 4.890 4.890
```



The following is a PBE calculation of crystalline TeSeS2 at its relaxed geometry, from the Alexandria database.

Computed properties:
Formation energy from raw total energies: 407 meV per atom
Energy relative to the lowest polymorph listed for this composition: 320.6 meV/atom

Structure (extended XYZ):
```
8
Lattice="-3.553 3.553 3.789 3.553 -3.553 3.789 3.553 3.553 -3.789" Properties=species:S:1:pos:R:3 pbc="T T T"
Te 0.000 0.000 0.000
Te 0.000 3.553 1.895
Se 3.553 0.000 1.895
Se 0.000 0.000 3.789
S 1.777 -1.705 2.842
S 1.849 1.777 0.947
S 1.777 5.258 -0.947
S 1.705 1.777 4.737
```



The following is a PBE calculation of crystalline TaCdAs2Se at its relaxed geometry, from the Alexandria database.

Computed properties:
Formation energy from raw total energies: 1437 meV per atom
Energy relative to the lowest polymorph listed for this composition: 1284.9 meV/atom

Structure (extended XYZ):
```
5
Lattice="4.968 0.000 0.000 0.000 4.968 0.000 0.000 0.000 5.034" Properties=species:S:1:pos:R:3 pbc="T T T"
Ta 0.000 0.000 0.000
Cd 2.484 2.484 2.517
As 0.000 2.484 2.517
As 2.484 0.000 2.517
Se 2.484 2.484 0.000
```



The following is a PBE calculation of crystalline AlMoH2 at its relaxed geometry, from the Alexandria database.

Computed properties:
Energy relative to the lowest polymorph listed for this composition: 457.3 meV/atom

Structure (extended XYZ):
```
4
Lattice="0.000 2.625 2.625 2.625 0.000 2.625 2.625 2.625 0.000" Properties=species:S:1:pos:R:3 pbc="T T T"
Al 0.000 0.000 0.000
Mo 2.625 2.625 2.625
H 1.312 1.312 1.312
H 3.937 3.937 3.937
```



The following is a PBE calculation of crystalline SrInAs2 at its relaxed geometry, from the Alexandria database.

Computed properties:
DFT total energy: -3.83 eV per atom

Structure (extended XYZ):
```
4
Lattice="3.989 0.000 0.000 0.000 4.355 0.000 0.000 0.000 6.592" Properties=species:S:1:pos:R:3 pbc="T T T"
Sr 0.000 0.000 0.000
In 0.000 0.000 3.296
As 1.995 2.178 1.240
As 1.995 2.178 5.351
```



The following is a PBE calculation of crystalline AlIr2Pb at its relaxed geometry, from the Alexandria database.

Computed properties:
Energy relative to the lowest polymorph listed for this composition: 208.9 meV/atom

Structure (extended XYZ):
```
4
Lattice="2.983 0.000 0.000 0.000 3.940 0.000 0.000 0.000 6.011" Properties=species:S:1:pos:R:3 pbc="T T T"
Al 0.000 0.000 0.000
Ir 0.000 0.000 2.486
Ir 1.491 1.970 0.632
Pb 1.491 1.970 3.794
```



The following is a PBE calculation of crystalline RbBaEu4 at its relaxed geometry, from the Alexandria database.

Computed properties:
DFT total energy: -7.18 eV per atom

Structure (extended XYZ):
```
6
Lattice="0.000 5.465 5.465 5.465 0.000 5.465 5.465 5.465 0.000" Properties=species:S:1:pos:R:3 pbc="T T T"
Rb 0.000 0.000 0.000
Ba 8.197 8.197 8.197
Eu 4.105 4.105 4.105
Eu 6.824 6.824 4.105
Eu 6.824 4.105 6.824
Eu 4.105 6.824 6.824
```



The following is a PBE calculation of crystalline Tb3YHo3 at its relaxed geometry, from the Alexandria database.

Computed properties:
Energy relative to the lowest polymorph listed for this composition: 136.7 meV/atom

Structure (extended XYZ):
```
14
Lattice="3.078 1.777 14.191 -3.078 1.777 14.191 0.000 -3.554 14.191" Properties=species:S:1:pos:R:3 pbc="T T T"
Tb -1.019 -1.788 19.835
Tb -2.058 -0.011 22.739
Tb -1.039 1.776 19.835
Tb 1.039 -1.776 22.739
Tb 2.058 0.011 19.835
Tb 1.019 1.788 22.739
Y 0.000 0.000 14.190
Y 0.000 0.000 28.384
Ho -2.050 -0.004 17.022
Ho -1.022 -1.778 25.553
Ho 1.029 -1.774 17.022
Ho -1.029 1.774 25.553
Ho 1.022 1.778 17.022
Ho 2.050 0.004 25.552
```



The following is a PBE calculation of crystalline SrLi2CaI6 at its relaxed geometry, from the Alexandria database.

Computed properties:
Formation energy from raw total energies: -1442 meV per atom

Structure (extended XYZ):
```
10
Lattice="3.921 2.264 7.119 -3.921 2.264 7.119 0.000 -4.527 7.119" Properties=species:S:1:pos:R:3 pbc="T T T"
Sr 0.000 0.000 0.000
Li 0.000 0.000 6.537
Li 0.000 0.000 17.267
Ca 0.000 0.000 10.606
I -2.408 -0.252 8.565
I -1.417 -2.409 12.067
I 1.422 -1.959 8.565
I -1.378 2.431 12.067
I 0.985 2.211 8.565
I 2.794 -0.022 12.067
```



Total magnetic moment for every record listed, in sequence, given in μB/f.u.: 0.00; 0.09; 0.62; 0.00; 0.00; 4.74; 0.00; 0.00; 9.46; 0.00; 0.07; 0.00; 0.00; 0.00; 0.00; 0.00; 0.00; 29.46; 0.00; 0.00.
D(E_F) for every record listed, in sequence, given in states/eV/cell: 1.5; 8.1; 4.9; 2.5; 2.6; 10.4; 4.2; 8.1; 6.9; 3.5; 0.0; 1.1; 0.0; 6.4; 2.8; 1.3; 2.4; 36.1; 19.6; 0.0.